[1]
The following is a DFT calculation (PBE) of BeAsO2F after structural relaxation.

a b c (Å): 3.934 3.934 4.023
angles (deg): 90.00 90.00 90.00
Atoms (fractional coordinates):
O1 0.000 0.500 0.000
O2 0.500 0.000 0.000
Be1 0.500 0.500 0.500
As1 0.000 0.000 0.000
F1 0.000 0.000 0.500

Calculated values
Its space group is No. 123. The value obtained for the total moment is 0.00 μB per cell. Its energy relative to the elements, uncorrected is -393 meV/atom.


[2]
The following is a DFT calculation (PBE) of HoEr3Te6 after structural relaxation.

a b c (Å): 8.960 8.960 8.960
angles (deg): 90.50 90.50 90.50
Atoms (fractional coordinates):
Te1 0.091 0.316 0.913
Te2 0.591 0.822 0.462
Te3 0.462 0.591 0.822
Te4 0.087 0.909 0.684
Te5 0.316 0.913 0.091
Te6 0.409 0.178 0.538
Te7 0.913 0.091 0.316
Te8 0.684 0.087 0.909
Te9 0.538 0.409 0.178
Te10 0.178 0.538 0.409
Te11 0.909 0.684 0.087
Te12 0.822 0.462 0.591
Er1 0.757 0.425 0.918
Er2 0.243 0.575 0.082
Er3 0.918 0.757 0.425
Er4 0.575 0.082 0.243
Er5 0.082 0.243 0.575
Er6 0.425 0.918 0.757
Ho1 0.500 0.500 0.500
Ho2 0.000 0.000 0.000

Calculated values
Its space group is No. 148. For the relative energy among the computed polymorphs, the calculation gives 39 meV per atom. The value obtained for the total moment is 0.00 μB per cell. Its energy relative to the elements, uncorrected is -1307 meV/atom.


[3]
The following is a DFT calculation (PBE) of Ge3BP after structural relaxation.

a b c (Å): 4.388 4.388 4.388
angles (deg): 90.00 90.00 90.00
Atoms (fractional coordinates):
B1 0.000 0.000 0.000
P1 0.500 0.500 0.500
Ge1 0.000 0.500 0.000
Ge2 0.500 0.000 0.000
Ge3 0.000 0.000 0.500

Calculated values
Its space group is No. 221. For the relative energy among the computed polymorphs, the calculation gives 0 meV per atom. The value obtained for the total moment is 0.00 μB per cell. As for the calculated formation energy: 0.7039 eV per atom.


[4]
The following is a DFT calculation (PBE) of MnSnI3 after structural relaxation.

a b c (Å): 5.677 5.677 5.677
angles (deg): 90.00 90.00 90.00
Site moments in Bohr magnetons follow the coordinates.
Atoms (fractional coordinates):
I1 0.000 0.000 0.500  0.00
I2 0.500 0.000 0.000  -0.06
I3 0.000 0.500 0.000  -0.03
Sn1 0.500 0.500 0.500  0.17
Mn1 0.000 0.000 0.000  0.38

Calculated values
Its space group is No. 221. The value obtained for the total moment is 0.73 μB per cell. Its energy relative to the elements, uncorrected is 492 meV/atom.


[5]
The following is a DFT calculation (PBE) of La2Fe2Ge after structural relaxation.

a b c (Å): 6.777 6.777 4.409
angles (deg): 90.00 90.00 90.00
Atoms (fractional coordinates):
Ge1 0.500 0.500 0.000
Ge2 0.000 0.000 0.000
Fe1 0.389 0.889 0.000
Fe2 0.611 0.111 0.000
Fe3 0.111 0.389 0.000
Fe4 0.889 0.611 0.000
La1 0.187 0.687 0.500
La2 0.687 0.813 0.500
La3 0.813 0.313 0.500
La4 0.313 0.187 0.500

Calculated values
Its space group is No. 127. The value obtained for the total moment is 0.00 μB per cell. As for the calculated formation energy: -0.0692 eV per atom.


[6]
The following is a DFT calculation (PBE) of In12Hg3Te after structural relaxation.

a b c (Å): 4.706 4.706 19.897
angles (deg): 90.00 90.00 90.00
Atoms (fractional coordinates):
Hg1 0.000 0.000 0.256
Hg2 0.000 0.000 0.744
Hg3 0.000 0.000 0.500
In1 0.000 0.500 0.378
In2 0.500 0.000 0.378
In3 0.500 0.000 0.132
In4 0.500 0.500 0.500
In5 0.000 0.500 0.132
In6 0.000 0.500 0.622
In7 0.500 0.000 0.868
In8 0.500 0.500 0.000
In9 0.500 0.500 0.257
In10 0.500 0.000 0.622
In11 0.500 0.500 0.743
In12 0.000 0.500 0.868
Te1 0.000 0.000 0.000

Calculated values
Its space group is No. 123. The value obtained for the total moment is 0.00 μB per cell. Its energy relative to the elements, uncorrected is -4 meV/atom.


[7]
The following is a DFT calculation (PBE) of PuZrTiIr after structural relaxation.

a b c (Å): 4.711 4.711 4.711
angles (deg): 60.00 60.00 60.00
Site moments in Bohr magnetons follow the coordinates.
Atoms (fractional coordinates):
Pu1 0.000 0.000 0.000  5.09
Zr1 0.750 0.750 0.750  0.05
Ti1 0.250 0.250 0.250  0.24
Ir1 0.500 0.500 0.500  -0.16

Calculated values
Its space group is No. 216. The value obtained for the total moment is 5.31 μB per cell. As for the calculated formation energy: -0.1836 eV per atom.


[8]
The following is a DFT calculation (PBE) of PmThPt2 after structural relaxation.

a b c (Å): 5.098 5.098 5.098
angles (deg): 60.00 60.00 60.00
Atoms (fractional coordinates):
Pm1 0.500 0.500 0.500
Th1 0.000 0.000 0.000
Pt1 0.750 0.750 0.750
Pt2 0.250 0.250 0.250

Calculated values
Its space group is No. 225. For the relative energy among the computed polymorphs, the calculation gives 175 meV per atom. The value obtained for the total moment is 0.00 μB per cell. As for the calculated formation energy: -1.0469 eV per atom.


[9]
The following is a DFT calculation (PBE) of LiSc2CdHg4 after structural relaxation.

a b c (Å): 4.883 4.883 8.499
angles (deg): 73.30 73.30 60.00
Atoms (fractional coordinates):
Hg1 0.382 0.382 0.855
Hg2 0.130 0.130 0.609
Hg3 0.870 0.870 0.391
Hg4 0.618 0.618 0.145
Sc1 0.747 0.747 0.758
Sc2 0.253 0.253 0.242
Cd1 0.000 0.000 0.000
Li1 0.500 0.500 0.500

Calculated values
Its space group is No. 166. The value obtained for the total moment is 0.00 μB per cell. As for the calculated formation energy: -0.3517 eV per atom.


[10]
The following is a DFT calculation (PBE) of ScSbRh2 after structural relaxation.

a b c (Å): 5.217 5.217 5.217
angles (deg): 135.86 135.87 64.19
Atoms (fractional coordinates):
Sb1 0.500 0.500 0.000
Rh1 0.000 0.000 0.000
Rh2 0.750 0.250 0.500
Sc1 0.250 0.750 0.500

Calculated values
Its space group is No. 119. The value obtained for the total moment is 0.00 μB per cell. Its energy relative to the elements, uncorrected is -734 meV/atom.


[11]
The following is a DFT calculation (PBE) of TbHoPt after structural relaxation.

a b c (Å): 8.013 9.420 8.652
angles (deg): 123.02 117.59 90.00
Atoms (fractional coordinates):
Pt1 0.126 0.841 0.683
Pt2 0.733 0.250 0.000
Pt3 0.733 0.750 0.000
Pt4 0.443 0.659 0.317
Pt5 0.443 0.159 0.317
Pt6 0.126 0.341 0.683
Tb1 0.348 0.250 0.000
Tb2 0.348 0.750 0.000
Tb3 0.133 0.459 0.418
Tb4 0.133 0.959 0.418
Tb5 0.715 0.041 0.582
Tb6 0.715 0.541 0.582
Ho1 0.021 0.000 0.000
Ho2 0.767 0.137 0.273
Ho3 0.494 0.863 0.727
Ho4 0.021 0.500 0.000
Ho5 0.494 0.363 0.727
Ho6 0.767 0.637 0.273

Calculated values
Its space group is No. 38. For the relative energy among the computed polymorphs, the calculation gives 45 meV per atom. The value obtained for the total moment is 0.00 μB per cell. As for the calculated formation energy: -0.9005 eV per atom.


[12]
The following is a DFT calculation (PBE) of HfBSeBr2 after structural relaxation.

a b c (Å): 5.294 5.294 5.152
angles (deg): 90.00 90.00 90.00
Site moments in Bohr magnetons follow the coordinates.
Atoms (fractional coordinates):
Hf1 0.000 0.000 0.000  0.09
B1 0.500 0.500 0.500  0.28
Br1 0.500 0.000 0.000  0.00
Br2 0.000 0.500 0.000  0.00
Se1 0.000 0.000 0.500  -0.01

Calculated values
Its space group is No. 123. For the relative energy among the computed polymorphs, the calculation gives 0 meV per atom. The value obtained for the total moment is 0.77 μB per cell. Its energy relative to the elements, uncorrected is 304 meV/atom.


[13]
The following is a DFT calculation (PBE) of LaOs2Ru after structural relaxation.

a b c (Å): 10.032 10.032 10.032
angles (deg): 16.24 16.24 16.24
Site moments in Bohr magnetons follow the coordinates.
Atoms (fractional coordinates):
Os1 0.250 0.250 0.250  0.01
Os2 0.988 0.988 0.988  0.01
La1 0.750 0.750 0.750  0.20
Ru1 0.512 0.512 0.512  0.01

Calculated values
Its space group is No. 160. For the relative energy among the computed polymorphs, the calculation gives 297 meV per atom. The value obtained for the total moment is 0.27 μB per cell. As for the calculated formation energy: 0.6205 eV per atom.


[14]
The following is a DFT calculation (PBE) of AcMgUO6 after structural relaxation.

a b c (Å): 5.193 5.193 10.390
angles (deg): 90.00 90.00 90.00
Site moments in Bohr magnetons follow the coordinates.
Atoms (fractional coordinates):
Mg1 0.500 0.500 0.834  0.00
Mg2 0.000 0.000 0.334  0.00
U1 0.500 0.500 0.165  -0.03
U2 0.000 0.000 0.665  -0.03
O1 0.788 0.212 0.187  0.12
O2 0.300 0.300 0.304  0.10
O3 0.800 0.200 0.804  0.10
O4 0.671 0.671 0.005  0.06
O5 0.700 0.700 0.304  0.10
O6 0.329 0.329 0.005  0.06
O7 0.829 0.171 0.505  0.06
O8 0.288 0.288 0.687  0.12
O9 0.712 0.712 0.687  0.12
O10 0.200 0.800 0.804  0.10
O11 0.171 0.829 0.505  0.06
O12 0.212 0.788 0.187  0.12
Ac1 0.500 0.500 0.507  0.01
Ac2 0.000 0.000 0.007  0.01

Calculated values
Its space group is No. 102. The value obtained for the total moment is 1.35 μB per cell. Its energy relative to the elements, uncorrected is -2805 meV/atom.


[15]
The following is a DFT calculation (PBE) of PaTiRh2 after structural relaxation.

a b c (Å): 3.091 3.091 7.252
angles (deg): 90.00 90.00 90.00
Atoms (fractional coordinates):
Rh1 0.000 0.000 0.792
Rh2 0.000 0.000 0.208
Pa1 0.500 0.500 0.500
Ti1 0.500 0.500 0.000

Calculated values
Its space group is No. 123. For the relative energy among the computed polymorphs, the calculation gives 0 meV per atom. The value obtained for the total moment is 0.00 μB per cell. As for the calculated formation energy: -0.6952 eV per atom.


[16]
The following is a DFT calculation (PBE) of LaPr3P4 after structural relaxation.

a b c (Å): 5.970 5.970 5.970
angles (deg): 90.00 90.00 90.00
Atoms (fractional coordinates):
P1 0.500 0.000 0.000
P2 0.000 0.500 0.000
P3 0.000 0.000 0.500
P4 0.500 0.500 0.500
Pr1 0.500 0.000 0.500
Pr2 0.000 0.500 0.500
Pr3 0.500 0.500 0.000
La1 0.000 0.000 0.000

Calculated values
Its space group is No. 221. The value obtained for the total moment is 0.00 μB per cell. As for the calculated formation energy: -1.5323 eV per atom.


[17]
The following is a DFT calculation (PBE) of NdDy9Tm2 after structural relaxation.

a b c (Å): 5.012 5.012 15.046
angles (deg): 90.00 90.00 90.00
Atoms (fractional coordinates):
Dy1 0.500 0.000 0.500
Dy2 0.000 0.500 0.830
Dy3 0.500 0.000 0.170
Dy4 0.500 0.500 0.665
Dy5 0.500 0.500 0.335
Dy6 0.000 0.500 0.170
Dy7 0.000 0.500 0.500
Dy8 0.500 0.500 0.000
Dy9 0.500 0.000 0.830
Tm1 0.000 0.000 0.665
Tm2 0.000 0.000 0.335
Nd1 0.000 0.000 0.000

Calculated values
Its space group is No. 123. For the relative energy among the computed polymorphs, the calculation gives 0 meV per atom. The value obtained for the total moment is 0.00 μB per cell. As for the calculated formation energy: 0.0228 eV per atom.


[18]
The following is a DFT calculation (PBE) of Na2SrInBi2 after structural relaxation.

a b c (Å): 4.979 8.338 9.648
angles (deg): 90.00 90.00 90.00
Atoms (fractional coordinates):
In1 0.500 0.648 0.310
In2 0.500 0.148 0.690
Sr1 0.000 0.480 0.556
Sr2 0.000 0.980 0.444
Bi1 0.500 0.265 0.372
Bi2 0.000 0.751 0.148
Bi3 0.000 0.251 0.852
Bi4 0.500 0.765 0.628
Na1 0.500 0.541 0.927
Na2 0.500 0.041 0.073
Na3 0.000 0.360 0.170
Na4 0.000 0.860 0.830

Calculated values
Its space group is No. 26. The value obtained for the total moment is 0.00 μB per cell. As for the calculated formation energy: -0.4640 eV per atom.


[19]
The following is a DFT calculation (PBE) of TlZn2Fe after structural relaxation.

a b c (Å): 9.117 9.117 9.117
angles (deg): 19.24 19.24 19.24
Site moments in Bohr magnetons follow the coordinates.
Atoms (fractional coordinates):
Zn1 0.513 0.513 0.513  -0.04
Zn2 0.987 0.987 0.987  -0.04
Fe1 0.250 0.250 0.250  2.60
Tl1 0.750 0.750 0.750  0.00

Calculated values
Its space group is No. 166. For the relative energy among the computed polymorphs, the calculation gives 89 meV per atom. The value obtained for the total moment is 2.44 μB per cell. As for the calculated formation energy: 0.3352 eV per atom.


[20]
The following is a DFT calculation (PBE) of CaCdInHg4 after structural relaxation.

a b c (Å): 4.369 4.369 10.685
angles (deg): 101.80 101.80 90.00
Atoms (fractional coordinates):
Ca1 0.057 0.057 0.113
In1 0.647 0.647 0.294
Hg1 0.788 0.788 0.575
Hg2 0.215 0.215 0.429
Hg3 0.897 0.397 0.794
Hg4 0.397 0.897 0.794
Cd1 0.500 0.500 0.001

Calculated values
Its space group is No. 107. The value obtained for the total moment is 0.00 μB per cell. As for the calculated formation energy: -0.0769 eV per atom.


[21]
The following is a DFT calculation (PBE) of ZrP2Se after structural relaxation.

a b c (Å): 3.444 3.584 7.747
angles (deg): 79.41 90.00 90.00
Atoms (fractional coordinates):
Zr1 0.500 0.902 0.773
Se1 0.000 0.461 0.614
P1 0.500 0.276 0.043
P2 0.000 0.860 0.069

Calculated values
Its space group is No. 6. The value obtained for the total moment is 0.00 μB per cell. Its energy relative to the elements, uncorrected is -798 meV/atom.


no.,E_tot (eV/atom)
1,-4.426
2,-5.019
3,-4.484
4,-3.073
5,-6.349
6,-2.310
7,-10.093
8,-7.110
9,-2.439
10,-7.023
11,-5.983
12,-4.389
13,-8.545
14,-7.999
15,-8.719
16,-6.645
17,-4.571
18,-2.934
19,-3.009
20,-1.057
21,-6.511